(1)
# CsAg2RhPb (GGA-PBE, relaxed)
# - ΔE_f: 921 kJ/mol of formula units
# - Symmetry: P4/mmm (123)
data_CsAg2RhPb
_chemical_formula_sum 'Cs1 Ag2 Rh1 Pb1'
_cell_length_a 5.6766
_cell_length_b 5.6766
_cell_length_c 6.3867
_cell_angle_alpha 90.00
_cell_angle_beta 90.00
_cell_angle_gamma 90.00
_symmetry_space_group_name_H-M 'P 1'
_symmetry_Int_Tables_number 1
loop_
_symmetry_equiv_pos_as_xyz
'x,y,z'
loop_
_atom_site_label
_atom_site_fract_x
_atom_site_fract_y
_atom_site_fract_z
Cs1 0.0000 0.0000 0.0000
Ag1 0.0000 0.5000 0.0000
Ag2 0.5000 0.0000 0.0000
Rh1 0.5000 0.5000 0.5000
Pb1 0.0000 0.0000 0.5000

(2)
# CsAg2Sb2Pb2 (GGA-PBE, relaxed)
# - Formation energy (no corrections): -101 meV/atom
# - Symmetry: R-3m (166)
data_CsAg2Sb2Pb2
_chemical_formula_sum 'Cs1 Ag2 Sb2 Pb2'
_cell_length_a 12.2223
_cell_length_b 12.2223
_cell_length_c 12.2223
_cell_angle_alpha 22.61
_cell_angle_beta 22.61
_cell_angle_gamma 22.61
_symmetry_space_group_name_H-M 'P 1'
_symmetry_Int_Tables_number 1
loop_
_symmetry_equiv_pos_as_xyz
'x,y,z'
loop_
_atom_site_label
_atom_site_fract_x
_atom_site_fract_y
_atom_site_fract_z
Cs1 0.0000 0.0000 0.0000
Ag1 0.4252 0.4252 0.4252
Ag2 0.5748 0.5748 0.5748
Sb1 0.2541 0.2541 0.2541
Sb2 0.7459 0.7459 0.7459
Pb1 0.1324 0.1324 0.1324
Pb2 0.8676 0.8676 0.8676

(3)
# Cs2AgSb3Pb4 (GGA-PBE, relaxed)
# - Formation energy (no corrections): -145 meV/atom
# - Symmetry: P-4m2 (115)
data_Cs2AgSb3Pb4
_chemical_formula_sum 'Cs2 Ag1 Sb3 Pb4'
_cell_length_a 5.4519
_cell_length_b 5.4519
_cell_length_c 12.7726
_cell_angle_alpha 90.00
_cell_angle_beta 90.00
_cell_angle_gamma 90.00
_symmetry_space_group_name_H-M 'P 1'
_symmetry_Int_Tables_number 1
loop_
_symmetry_equiv_pos_as_xyz
'x,y,z'
loop_
_atom_site_label
_atom_site_fract_x
_atom_site_fract_y
_atom_site_fract_z
Cs1 0.0000 0.5000 0.2376
Cs2 0.5000 0.0000 0.7624
Ag1 0.5000 0.5000 0.0000
Sb1 0.0000 0.0000 0.0000
Sb2 0.0000 0.5000 0.6384
Sb3 0.5000 0.0000 0.3616
Pb1 0.0000 0.0000 0.5000
Pb2 0.0000 0.5000 0.8869
Pb3 0.5000 0.0000 0.1131
Pb4 0.5000 0.5000 0.5000

(4)
# CsSiAgPb2 (GGA-PBE, relaxed)
# - Formation energy (no corrections): 1712 meV/atom
# - Symmetry: P4/mmm (123)
data_CsSiAgPb2
_chemical_formula_sum 'Cs1 Si1 Ag1 Pb2'
_cell_length_a 6.4157
_cell_length_b 6.4157
_cell_length_c 5.5279
_cell_angle_alpha 90.00
_cell_angle_beta 90.00
_cell_angle_gamma 90.00
_symmetry_space_group_name_H-M 'P 1'
_symmetry_Int_Tables_number 1
loop_
_symmetry_equiv_pos_as_xyz
'x,y,z'
loop_
_atom_site_label
_atom_site_fract_x
_atom_site_fract_y
_atom_site_fract_z
Cs1 0.0000 0.0000 0.0000
Si1 0.0000 0.0000 0.5000
Ag1 0.5000 0.5000 0.5000
Pb1 0.0000 0.5000 0.0000
Pb2 0.5000 0.0000 0.0000

(5)
# CsTl2AgPb (GGA-PBE, relaxed)
# - ΔE_f: 67 kJ/mol of formula units
# - Symmetry: P4/mmm (123)
data_CsTl2AgPb
_chemical_formula_sum 'Cs1 Tl2 Ag1 Pb1'
_cell_length_a 5.7870
_cell_length_b 5.7870
_cell_length_c 5.6925
_cell_angle_alpha 90.00
_cell_angle_beta 90.00
_cell_angle_gamma 90.00
_symmetry_space_group_name_H-M 'P 1'
_symmetry_Int_Tables_number 1
loop_
_symmetry_equiv_pos_as_xyz
'x,y,z'
loop_
_atom_site_label
_atom_site_fract_x
_atom_site_fract_y
_atom_site_fract_z
Cs1 0.0000 0.0000 0.0000
Tl1 0.0000 0.5000 0.5000
Tl2 0.5000 0.0000 0.5000
Ag1 0.5000 0.5000 0.5000
Pb1 0.5000 0.5000 0.0000

(6)
# CsZr2AgPb (GGA-PBE, relaxed)
# - ΔE_f: 507 kJ/mol of formula units
# - Symmetry: P4/mmm (123)
data_CsZr2AgPb
_chemical_formula_sum 'Cs1 Zr2 Ag1 Pb1'
_cell_length_a 5.6581
_cell_length_b 5.6581
_cell_length_c 5.5755
_cell_angle_alpha 90.00
_cell_angle_beta 90.00
_cell_angle_gamma 90.00
_symmetry_space_group_name_H-M 'P 1'
_symmetry_Int_Tables_number 1
loop_
_symmetry_equiv_pos_as_xyz
'x,y,z'
loop_
_atom_site_label
_atom_site_fract_x
_atom_site_fract_y
_atom_site_fract_z
Cs1 0.0000 0.0000 0.0000
Zr1 0.0000 0.5000 0.5000
Zr2 0.5000 0.0000 0.5000
Ag1 0.5000 0.5000 0.0000
Pb1 0.5000 0.5000 0.5000

(7)
# Cs12Ag5Pd3 (GGA-PBE, relaxed)
# - ΔE_f: 320 kJ/mol of formula units
# - Symmetry: Ia-3d (230)
data_Cs12Ag5Pd3
_chemical_formula_sum 'Cs48 Ag20 Pd12'
_cell_length_a 18.5791
_cell_length_b 18.5791
_cell_length_c 18.5791
_cell_angle_alpha 109.47
_cell_angle_beta 109.47
_cell_angle_gamma 109.47
_symmetry_space_group_name_H-M 'P 1'
_symmetry_Int_Tables_number 1
loop_
_symmetry_equiv_pos_as_xyz
'x,y,z'
loop_
_atom_site_label
_atom_site_fract_x
_atom_site_fract_y
_atom_site_fract_z
Cs1 0.0604 0.2337 0.1329
Cs2 0.0604 0.3267 0.9276
Cs3 0.0724 0.6329 0.3992
Cs4 0.0724 0.9396 0.6733
Cs5 0.1008 0.7337 0.6733
Cs6 0.1008 0.8671 0.4276
Cs7 0.1329 0.0604 0.2337
Cs8 0.1329 0.5724 0.8992
Cs9 0.1733 0.2337 0.6008
Cs10 0.1733 0.4396 0.5724
Cs11 0.2337 0.1329 0.0604
Cs12 0.2337 0.6008 0.1733
Cs13 0.2663 0.3267 0.8992
Cs14 0.2663 0.4396 0.3671
Cs15 0.3267 0.8992 0.2663
Cs16 0.3267 0.9276 0.0604
Cs17 0.3671 0.2663 0.4396
Cs18 0.3671 0.6008 0.9276
Cs19 0.3992 0.0724 0.6329
Cs20 0.3992 0.8267 0.7663
Cs21 0.4276 0.1008 0.8671
Cs22 0.4276 0.8267 0.5604
Cs23 0.4396 0.3671 0.2663
Cs24 0.4396 0.5724 0.1733
Cs25 0.5604 0.4276 0.8267
Cs26 0.5604 0.6329 0.7337
Cs27 0.5724 0.1733 0.4396
Cs28 0.5724 0.8992 0.1329
Cs29 0.6008 0.1733 0.2337
Cs30 0.6008 0.9276 0.3671
Cs31 0.6329 0.3992 0.0724
Cs32 0.6329 0.7337 0.5604
Cs33 0.6733 0.0724 0.9396
Cs34 0.6733 0.1008 0.7337
Cs35 0.7337 0.5604 0.6329
Cs36 0.7337 0.6733 0.1008
Cs37 0.7663 0.3992 0.8267
Cs38 0.7663 0.8671 0.9396
Cs39 0.8267 0.5604 0.4276
Cs40 0.8267 0.7663 0.3992
Cs41 0.8671 0.4276 0.1008
Cs42 0.8671 0.9396 0.7663
Cs43 0.8992 0.1329 0.5724
Cs44 0.8992 0.2663 0.3267
Cs45 0.9276 0.0604 0.3267
Cs46 0.9276 0.3671 0.6008
Cs47 0.9396 0.6733 0.0724
Cs48 0.9396 0.7663 0.8671
Ag1 0.0000 0.0000 0.0000
Ag2 0.0000 0.0000 0.5000
Ag3 0.0000 0.5000 0.0000
Ag4 0.0000 0.5000 0.5000
Ag5 0.1250 0.7500 0.8750
Ag6 0.1250 0.8750 0.2500
Ag7 0.2500 0.1250 0.8750
Ag8 0.2500 0.6250 0.3750
Ag9 0.3750 0.2500 0.6250
Ag10 0.3750 0.6250 0.7500
Ag11 0.5000 0.0000 0.0000
Ag12 0.5000 0.0000 0.5000
Ag13 0.5000 0.5000 0.0000
Ag14 0.5000 0.5000 0.5000
Ag15 0.6250 0.3750 0.2500
Ag16 0.6250 0.7500 0.3750
Ag17 0.7500 0.3750 0.6250
Ag18 0.7500 0.8750 0.1250
Ag19 0.8750 0.1250 0.7500
Ag20 0.8750 0.2500 0.1250
Pd1 0.1250 0.2500 0.3750
Pd2 0.1250 0.3750 0.7500
Pd3 0.2500 0.3750 0.1250
Pd4 0.2500 0.8750 0.6250
Pd5 0.3750 0.1250 0.2500
Pd6 0.3750 0.7500 0.1250
Pd7 0.6250 0.2500 0.8750
Pd8 0.6250 0.8750 0.7500
Pd9 0.7500 0.1250 0.3750
Pd10 0.7500 0.6250 0.8750
Pd11 0.8750 0.6250 0.2500
Pd12 0.8750 0.7500 0.6250

(8)
# CsAg2Pd2 (GGA-PBE, relaxed)
# - ΔE_f: 88 kJ/mol of formula units
# - Distance to the lowest polymorph of the same formula: 0 kJ/mol of formula units
# - Symmetry: P4/mbm (127)
data_CsAg2Pd2
_chemical_formula_sum 'Cs2 Ag4 Pd4'
_cell_length_a 8.2975
_cell_length_b 8.2975
_cell_length_c 3.1811
_cell_angle_alpha 90.00
_cell_angle_beta 90.00
_cell_angle_gamma 90.00
_symmetry_space_group_name_H-M 'P 1'
_symmetry_Int_Tables_number 1
loop_
_symmetry_equiv_pos_as_xyz
'x,y,z'
loop_
_atom_site_label
_atom_site_fract_x
_atom_site_fract_y
_atom_site_fract_z
Cs1 0.0000 0.0000 0.0000
Cs2 0.5000 0.5000 0.0000
Ag1 0.1632 0.3368 0.5000
Ag2 0.3368 0.8368 0.5000
Ag3 0.6632 0.1632 0.5000
Ag4 0.8368 0.6632 0.5000
Pd1 0.1227 0.6227 0.0000
Pd2 0.3773 0.1227 0.0000
Pd3 0.6227 0.8773 0.0000
Pd4 0.8773 0.3773 0.0000

(9)
# CsAg2Pd2 (GGA-PBE, relaxed)
# - ΔE_f: 102 kJ/mol of formula units
# - Distance to the lowest polymorph of the same formula: 14 kJ/mol of formula units
# - Symmetry: I4/mmm (139)
data_CsAg2Pd2
_chemical_formula_sum 'Cs1 Ag2 Pd2'
_cell_length_a 6.7941
_cell_length_b 6.7941
_cell_length_c 6.7941
_cell_angle_alpha 141.49
_cell_angle_beta 141.49
_cell_angle_gamma 55.59
_symmetry_space_group_name_H-M 'P 1'
_symmetry_Int_Tables_number 1
loop_
_symmetry_equiv_pos_as_xyz
'x,y,z'
loop_
_atom_site_label
_atom_site_fract_x
_atom_site_fract_y
_atom_site_fract_z
Cs1 0.0000 0.0000 0.0000
Ag1 0.2500 0.7500 0.5000
Ag2 0.7500 0.2500 0.5000
Pd1 0.3864 0.3864 0.0000
Pd2 0.6136 0.6136 0.0000

(10)
# Cs2AgPd2 (GGA-PBE, relaxed)
# - ΔE_f: 151 kJ/mol of formula units
# - Distance to the lowest polymorph of the same formula: 175 kJ/mol of formula units
# - Symmetry: I4/mmm (139)
data_Cs2AgPd2
_chemical_formula_sum 'Cs2 Ag1 Pd2'
_cell_length_a 6.2370
_cell_length_b 6.2370
_cell_length_c 6.2370
_cell_angle_alpha 114.18
_cell_angle_beta 114.18
_cell_angle_gamma 100.42
_symmetry_space_group_name_H-M 'P 1'
_symmetry_Int_Tables_number 1
loop_
_symmetry_equiv_pos_as_xyz
'x,y,z'
loop_
_atom_site_label
_atom_site_fract_x
_atom_site_fract_y
_atom_site_fract_z
Cs1 0.2500 0.7500 0.5000
Cs2 0.7500 0.2500 0.5000
Ag1 0.0000 0.0000 0.0000
Pd1 0.3352 0.3352 0.0000
Pd2 0.6648 0.6648 0.0000

(11)
# Cs2AgPd2 (GGA-PBE, relaxed)
# - ΔE_f: -24 kJ/mol of formula units
# - Distance to the lowest polymorph of the same formula: 0 kJ/mol of formula units
# - Symmetry: R-3m (166)
data_Cs2AgPd2
_chemical_formula_sum 'Cs2 Ag1 Pd2'
_cell_length_a 11.1845
_cell_length_b 11.1845
_cell_length_c 11.1845
_cell_angle_alpha 24.54
_cell_angle_beta 24.54
_cell_angle_gamma 24.54
_symmetry_space_group_name_H-M 'P 1'
_symmetry_Int_Tables_number 1
loop_
_symmetry_equiv_pos_as_xyz
'x,y,z'
loop_
_atom_site_label
_atom_site_fract_x
_atom_site_fract_y
_atom_site_fract_z
Cs1 0.0789 0.0789 0.0789
Cs2 0.9211 0.9211 0.9211
Ag1 0.5000 0.5000 0.5000
Pd1 0.1749 0.1749 0.1749
Pd2 0.8251 0.8251 0.8251

(12)
# Cs2Ag2Pd (GGA-PBE, relaxed)
# - ΔE_f: 83 kJ/mol of formula units
# - Distance to the lowest polymorph of the same formula: 91 kJ/mol of formula units
# - Symmetry: P4/mbm (127)
data_Cs2Ag2Pd
_chemical_formula_sum 'Cs4 Ag4 Pd2'
_cell_length_a 7.4247
_cell_length_b 7.4247
_cell_length_c 5.7586
_cell_angle_alpha 90.00
_cell_angle_beta 90.00
_cell_angle_gamma 90.00
_symmetry_space_group_name_H-M 'P 1'
_symmetry_Int_Tables_number 1
loop_
_symmetry_equiv_pos_as_xyz
'x,y,z'
loop_
_atom_site_label
_atom_site_fract_x
_atom_site_fract_y
_atom_site_fract_z
Cs1 0.1813 0.3187 0.0000
Cs2 0.3187 0.8187 0.0000
Cs3 0.6813 0.1813 0.0000
Cs4 0.8187 0.6813 0.0000
Ag1 0.1394 0.6394 0.5000
Ag2 0.3606 0.1394 0.5000
Ag3 0.6394 0.8606 0.5000
Ag4 0.8606 0.3606 0.5000
Pd1 0.0000 0.0000 0.5000
Pd2 0.5000 0.5000 0.5000

Copy entry 2 word for word.
# CsAg2Sb2Pb2 (GGA-PBE, relaxed)
# - Formation energy (no corrections): -101 meV/atom
# - Symmetry: R-3m (166)
data_CsAg2Sb2Pb2
_chemical_formula_sum 'Cs1 Ag2 Sb2 Pb2'
_cell_length_a 12.2223
_cell_length_b 12.2223
_cell_length_c 12.2223
_cell_angle_alpha 22.61
_cell_angle_beta 22.61
_cell_angle_gamma 22.61
_symmetry_space_group_name_H-M 'P 1'
_symmetry_Int_Tables_number 1
loop_
_symmetry_equiv_pos_as_xyz
'x,y,z'
loop_
_atom_site_label
_atom_site_fract_x
_atom_site_fract_y
_atom_site_fract_z
Cs1 0.0000 0.0000 0.0000
Ag1 0.4252 0.4252 0.4252
Ag2 0.5748 0.5748 0.5748
Sb1 0.2541 0.2541 0.2541
Sb2 0.7459 0.7459 0.7459
Pb1 0.1324 0.1324 0.1324
Pb2 0.8676 0.8676 0.8676